Compound: Re2MoRh
Source: Alexandria via LeMat-Bulk
Functional: SCAN
Structure: PBEsol geometry

a b c (Å): 3.8523 3.8523 3.8832
angles (deg): 90.00 90.00 90.00
Element x y z (fractional)
1 Re 0.0000 0.5000 0.0000
2 Re 0.5000 0.0000 0.0000
3 Mo 0.0000 0.0000 0.5000
4 Rh 0.5000 0.5000 0.5000

The calculation puts the formation energy at -0.06 eV/atom. The value obtained for the energy above the most stable polymorph in this dataset is 0.0 meV per atom. The value obtained for the energy is -52.773 eV/atom.

---

Compound: CrFe2Cu
Source: Alexandria via LeMat-Bulk
Functional: SCAN
Structure: PBEsol geometry

a b c (Å): 2.8435 3.8613 8.0084
angles (deg): 90.00 90.00 90.00
Element x y z (fractional)
1 Cr 0.0000 0.0000 0.0000
2 Cr 0.5000 0.5000 0.0000
3 Fe 0.0000 0.0000 0.4860
4 Fe 0.0000 0.5000 0.2427
5 Fe 0.5000 0.0000 0.2427
6 Fe 0.5000 0.5000 0.4860
7 Cu 0.0000 0.5000 0.7396
8 Cu 0.5000 0.0000 0.7396

The calculation puts the formation energy at 0.12 eV/atom. The value obtained for the energy is -17.344 eV/atom.

---

Compound: GaAuS2Cl
Source: Alexandria via LeMat-Bulk
Functional: SCAN
Structure: PBEsol geometry

a b c (Å): 4.7745 4.7745 4.9691
angles (deg): 90.00 90.00 90.00
Element x y z (fractional)
1 Ga 0.0000 0.0000 0.0000
2 Au 0.5000 0.5000 0.5000
3 S 0.0000 0.5000 0.5000
4 S 0.5000 0.0000 0.5000
5 Cl 0.5000 0.5000 0.0000

Its formation energy from raw total energies is 0.305 eV/atom. The value obtained for the energy is -22.243 eV/atom.

---

Compound: KOs2Rh
Source: Alexandria via LeMat-Bulk
Functional: SCAN
Structure: PBEsol geometry

a b c (Å): 2.7758 2.7758 9.0365
angles (deg): 90.00 90.00 90.00
Element x y z (fractional)
1 K 0.0000 0.0000 0.0000
2 Os 0.0000 0.0000 0.5042
3 Os 0.5000 0.5000 0.3171
4 Rh 0.5000 0.5000 0.7034

The calculation puts the formation energy at 0.68 eV/atom. The value obtained for the energy above the most stable polymorph in this dataset is 0.0 meV per atom. The value obtained for the energy is -45.788 eV/atom.

---

Compound: Li3VF5
Source: Alexandria via LeMat-Bulk
Functional: SCAN
Structure: PBEsol geometry

a b c (Å): 5.7387 11.1927 11.4057
angles (deg): 90.00 90.00 90.00
Element x y z (fractional)
1 Li 0.0091 0.1700 0.1778
2 Li 0.0091 0.3300 0.6778
3 Li 0.1510 0.5677 0.0647
4 Li 0.1510 0.9323 0.5647
5 Li 0.2340 0.0597 0.8176
6 Li 0.2340 0.4403 0.3176
7 Li 0.2660 0.5597 0.8176
8 Li 0.2660 0.9403 0.3176
9 Li 0.3490 0.0677 0.0647
10 Li 0.3490 0.4323 0.5647
11 Li 0.4909 0.6700 0.1778
12 Li 0.4909 0.8300 0.6778
13 Li 0.5091 0.1700 0.3222
14 Li 0.5091 0.3300 0.8222
15 Li 0.6510 0.5677 0.4353
16 Li 0.6510 0.9323 0.9353
17 Li 0.7340 0.0597 0.6824
18 Li 0.7340 0.4403 0.1824
19 Li 0.7660 0.5597 0.6824
20 Li 0.7660 0.9403 0.1824
21 Li 0.8490 0.0677 0.4353
22 Li 0.8490 0.4323 0.9353
23 Li 0.9909 0.6700 0.3222
24 Li 0.9909 0.8300 0.8222
25 V 0.2051 0.6728 0.5715
26 V 0.2051 0.8272 0.0715
27 V 0.2949 0.1728 0.5715
28 V 0.2949 0.3272 0.0715
29 V 0.7051 0.6728 0.9285
30 V 0.7051 0.8272 0.4285
31 V 0.7949 0.1728 0.9285
32 V 0.7949 0.3272 0.4285
33 F 0.0096 0.6571 0.8459
34 F 0.0096 0.8429 0.3459
35 F 0.1023 0.5184 0.6634
36 F 0.1023 0.9816 0.1634
37 F 0.1248 0.1804 0.9981
38 F 0.1248 0.3196 0.4981
39 F 0.1534 0.6852 0.1864
40 F 0.1534 0.8148 0.6864
41 F 0.1868 0.0541 0.4434
42 F 0.1868 0.4459 0.9434
43 F 0.3132 0.5541 0.4434
44 F 0.3132 0.9459 0.9434
45 F 0.3466 0.1852 0.1864
46 F 0.3466 0.3148 0.6864
47 F 0.3752 0.6804 0.9981
48 F 0.3752 0.8196 0.4981
49 F 0.3977 0.0184 0.6634
50 F 0.3977 0.4816 0.1634
51 F 0.4904 0.1571 0.8459
52 F 0.4904 0.3429 0.3459
53 F 0.5096 0.6571 0.6541
54 F 0.5096 0.8429 0.1541
55 F 0.6023 0.5184 0.8366
56 F 0.6023 0.9816 0.3366
57 F 0.6248 0.1804 0.5019
58 F 0.6248 0.3196 0.0019
59 F 0.6534 0.6852 0.3136
60 F 0.6534 0.8148 0.8136
61 F 0.6868 0.0541 0.0566
62 F 0.6868 0.4459 0.5566
63 F 0.8132 0.5541 0.0566
64 F 0.8132 0.9459 0.5566
65 F 0.8466 0.1852 0.3136
66 F 0.8466 0.3148 0.8136
67 F 0.8752 0.6804 0.5019
68 F 0.8752 0.8196 0.0019
69 F 0.8977 0.0184 0.8366
70 F 0.8977 0.4816 0.3366
71 F 0.9904 0.1571 0.6541
72 F 0.9904 0.3429 0.1541

The value obtained for the energy above the most stable polymorph in this dataset is 0.0 meV per atom. Its formation energy from raw total energies is -3.013 eV/atom. The value obtained for the energy is -7.719 eV/atom.

---

Compound: Hf3CuCl
Source: Alexandria via LeMat-Bulk
Functional: SCAN
Structure: PBEsol geometry

a b c (Å): 4.8482 4.8482 4.8482
angles (deg): 90.00 90.00 90.00
Element x y z (fractional)
1 Hf 0.0000 0.0000 0.5000
2 Hf 0.0000 0.5000 0.0000
3 Hf 0.5000 0.0000 0.0000
4 Cu 0.0000 0.0000 0.0000
5 Cl 0.5000 0.5000 0.5000

Its formation energy from raw total energies is 0.687 eV/atom. The value obtained for the energy is -41.552 eV/atom.

---

Compound: HfNiSn2
Source: Alexandria via LeMat-Bulk
Functional: SCAN
Structure: PBEsol geometry

a b c (Å): 6.7266 6.7266 6.7266
angles (deg): 90.00 90.00 90.00
Element x y z (fractional)
1 Hf 0.0000 0.0000 0.0000
2 Hf 0.0000 0.5000 0.5000
3 Hf 0.5000 0.0000 0.5000
4 Hf 0.5000 0.5000 0.0000
5 Ni 0.0000 0.0000 0.5000
6 Ni 0.0000 0.5000 0.0000
7 Ni 0.5000 0.0000 0.0000
8 Ni 0.5000 0.5000 0.5000
9 Sn 0.2500 0.2500 0.2500
10 Sn 0.2500 0.2500 0.7500
11 Sn 0.2500 0.7500 0.2500
12 Sn 0.2500 0.7500 0.7500
13 Sn 0.7500 0.2500 0.2500
14 Sn 0.7500 0.2500 0.7500
15 Sn 0.7500 0.7500 0.2500
16 Sn 0.7500 0.7500 0.7500

The calculation puts the formation energy at 0.19 eV/atom. The value obtained for the energy is -37.484 eV/atom.

---

Compound: MgBeNb2Se
Source: Alexandria via LeMat-Bulk
Functional: SCAN
Structure: PBEsol geometry

a b c (Å): 4.7994 4.7994 4.5842
angles (deg): 90.00 90.00 90.00
Element x y z (fractional)
1 Mg 0.0000 0.0000 0.0000
2 Be 0.5000 0.5000 0.5000
3 Nb 0.0000 0.5000 0.0000
4 Nb 0.5000 0.0000 0.0000
5 Se 0.0000 0.0000 0.5000

Its formation energy from raw total energies is 1.833 eV/atom. The value obtained for the energy is -17.300 eV/atom.

---

Compound: CaRe2Se
Source: Alexandria via LeMat-Bulk
Functional: SCAN
Structure: PBEsol geometry

a b c (Å): 3.0223 3.0223 7.7256
angles (deg): 90.00 90.00 90.00
Element x y z (fractional)
1 Ca 0.0000 0.0000 0.0000
2 Re 0.5000 0.5000 0.3104
3 Re 0.5000 0.5000 0.6896
4 Se 0.0000 0.0000 0.5000

Its formation energy from raw total energies is 0.906 eV/atom. The value obtained for the energy is -42.078 eV/atom.

---

Compound: CsPPtCl2
Source: Alexandria via LeMat-Bulk
Functional: SCAN
Structure: PBEsol geometry

a b c (Å): 5.2923 5.2923 4.4303
angles (deg): 90.00 90.00 90.00
Element x y z (fractional)
1 Cs 0.0000 0.0000 0.0000
2 P 0.5000 0.5000 0.5000
3 Pt 0.5000 0.5000 0.0000
4 Cl 0.0000 0.5000 0.5000
5 Cl 0.5000 0.0000 0.5000

Its formation energy from raw total energies is -0.723 eV/atom. The value obtained for the energy is -27.595 eV/atom.

---

Compound: ReNi2Se
Source: Alexandria via LeMat-Bulk
Functional: SCAN
Structure: PBEsol geometry

a b c (Å): 4.4819 4.4819 2.6226
angles (deg): 90.00 90.00 90.00
Element x y z (fractional)
1 Re 0.0000 0.0000 0.0000
2 Ni 0.0000 0.5000 0.5000
3 Ni 0.5000 0.0000 0.5000
4 Se 0.5000 0.5000 0.0000

Its formation energy from raw total energies is 0.558 eV/atom. The value obtained for the energy is -30.323 eV/atom.

---

Compound: LaAg2Hg
Source: Alexandria via LeMat-Bulk
Functional: SCAN
Structure: PBEsol geometry

a b c (Å): 3.4719 4.8851 5.5628
angles (deg): 90.00 90.00 90.00
Element x y z (fractional)
1 La 0.0000 0.0000 0.0000
2 Ag 0.5000 0.5000 0.2484
3 Ag 0.5000 0.5000 0.7516
4 Hg 0.5000 0.0000 0.5000

The calculation puts the formation energy at -0.25 eV/atom. The value obtained for the energy is -43.752 eV/atom.

---

Compound: LaMn2ZnPt
Source: Alexandria via LeMat-Bulk
Functional: SCAN
Structure: PBEsol geometry

a b c (Å): 4.4223 4.4223 5.1106
angles (deg): 90.00 90.00 90.00
Element x y z (fractional)
1 La 0.0000 0.0000 0.0000
2 Mn 0.0000 0.5000 0.0000
3 Mn 0.5000 0.0000 0.0000
4 Zn 0.0000 0.0000 0.5000
5 Pt 0.5000 0.5000 0.5000

The calculation puts the formation energy at 1.65 eV/atom. The value obtained for the energy is -31.011 eV/atom.

---

Compound: YMnNiF2
Source: Alexandria via LeMat-Bulk
Functional: SCAN
Structure: PBEsol geometry

a b c (Å): 4.0759 4.0759 6.3706
angles (deg): 90.00 90.00 90.00
Element x y z (fractional)
1 Y 0.0000 0.0000 0.0000
2 Mn 0.0000 0.0000 0.5000
3 Ni 0.5000 0.5000 0.5000
4 F 0.0000 0.5000 0.0000
5 F 0.5000 0.0000 0.0000

Its formation energy from raw total energies is -1.481 eV/atom. The value obtained for the energy is -15.352 eV/atom.

---

Compound: VOF2
Source: Alexandria via LeMat-Bulk
Functional: SCAN
Structure: PBEsol geometry

a b c (Å): 5.3389 5.1195 7.3542
angles (deg): 90.00 91.03 90.00
Element x y z (fractional)
1 V 0.0352 0.0000 0.2445
2 V 0.4605 0.5041 0.7443
3 V 0.5395 0.5041 0.2557
4 V 0.9648 0.0000 0.7555
5 O 0.2284 0.3046 0.7079
6 O 0.2404 0.7731 0.2063
7 O 0.7596 0.7731 0.7937
8 O 0.7716 0.3046 0.2921
9 F 0.0000 0.1362 0.0000
10 F 0.0000 0.9317 0.5000
11 F 0.2671 0.8078 0.8074
12 F 0.2676 0.2729 0.3102
13 F 0.5000 0.4303 0.0000
14 F 0.5000 0.6374 0.5000
15 F 0.7324 0.2729 0.6898
16 F 0.7329 0.8078 0.1926

Its formation energy from raw total energies is -2.942 eV/atom. The value obtained for the energy is -10.642 eV/atom.

---

Compound: KCS2N
Source: Alexandria via LeMat-Bulk
Functional: SCAN
Structure: PBEsol geometry

a b c (Å): 5.9208 5.9208 2.4628
angles (deg): 90.00 90.00 90.00
Element x y z (fractional)
1 K 0.0000 0.0000 0.0000
2 C 0.5000 0.5000 0.5000
3 S 0.0000 0.5000 0.5000
4 S 0.5000 0.0000 0.5000
5 N 0.5000 0.5000 0.0000

Its formation energy from raw total energies is 0.335 eV/atom. The value obtained for the energy is -9.061 eV/atom.

---

Compound: LaMoO3
Source: Alexandria via LeMat-Bulk
Functional: SCAN
Structure: PBEsol geometry

a b c (Å): 4.4486 4.4486 4.4486
angles (deg): 90.00 90.00 90.00
Element x y z (fractional)
1 La 0.0000 0.0000 0.0000
2 Mo 0.5000 0.5000 0.5000
3 O 0.0000 0.0000 0.5000
4 O 0.0000 0.5000 0.0000
5 O 0.5000 0.0000 0.0000

Its formation energy from raw total energies is -0.796 eV/atom. The value obtained for the energy is -20.133 eV/atom.

---

Compound: ReSi2Ir
Source: Alexandria via LeMat-Bulk
Functional: SCAN
Structure: PBEsol geometry

a b c (Å): 8.7983 2.9083 4.3146
angles (deg): 90.00 107.08 90.00
Element x y z (fractional)
1 Re 0.0000 0.0000 0.0000
2 Re 0.5000 0.5000 0.0000
3 Si 0.0084 0.5000 0.5241
4 Si 0.2563 0.0000 0.8857
5 Si 0.5084 0.0000 0.5241
6 Si 0.7563 0.5000 0.8857
7 Ir 0.2605 0.5000 0.4014
8 Ir 0.7605 0.0000 0.4014

The value obtained for the energy above the most stable polymorph in this dataset is 0.0 meV per atom. Its formation energy from raw total energies is -0.416 eV/atom. The value obtained for the energy is -40.973 eV/atom.

---

Compound: ScAu3
Source: Alexandria via LeMat-Bulk
Functional: SCAN
Structure: PBEsol geometry

a b c (Å): 5.2114 5.2114 5.2114
angles (deg): 90.00 90.00 90.00
Element x y z (fractional)
1 Sc 0.0000 0.0000 0.0000
2 Sc 0.5000 0.5000 0.5000
3 Au 0.0000 0.2500 0.5000
4 Au 0.0000 0.7500 0.5000
5 Au 0.2500 0.5000 0.0000
6 Au 0.5000 0.0000 0.2500
7 Au 0.5000 0.0000 0.7500
8 Au 0.7500 0.5000 0.0000

The calculation puts the formation energy at -0.77 eV/atom. The value obtained for the energy is -56.194 eV/atom.

---

Compound: Ba3Nb6Si4O26
Source: Alexandria via LeMat-Bulk
Functional: SCAN
Structure: PBEsol geometry

a b c (Å): 9.0900 9.0900 7.7448
angles (deg): 90.00 90.00 120.00
Element x y z (fractional)
1 Ba 0.0000 0.6030 0.0000
2 Ba 0.3970 0.3970 0.0000
3 Ba 0.6030 0.0000 0.0000
4 Nb 0.0000 0.2389 0.2563
5 Nb 0.0000 0.2389 0.7437
6 Nb 0.2389 0.0000 0.2563
7 Nb 0.2389 0.0000 0.7437
8 Nb 0.7611 0.7611 0.2563
9 Nb 0.7611 0.7611 0.7437
10 Si 0.3333 0.6667 0.2918
11 Si 0.3333 0.6667 0.7082
12 Si 0.6667 0.3333 0.2918
13 Si 0.6667 0.3333 0.7082
14 O 0.0000 0.2248 0.0000
15 O 0.0000 0.2876 0.5000
16 O 0.0000 0.8226 0.2712
17 O 0.0000 0.8226 0.7288
18 O 0.1774 0.1774 0.2712
19 O 0.1774 0.1774 0.7288
20 O 0.1837 0.4880 0.2117
21 O 0.1837 0.4880 0.7883
22 O 0.2248 0.0000 0.0000
23 O 0.2876 0.0000 0.5000
24 O 0.3043 0.8163 0.2117
25 O 0.3043 0.8163 0.7883
26 O 0.3333 0.6667 0.5000
27 O 0.4880 0.1837 0.2117
28 O 0.4880 0.1837 0.7883
29 O 0.5120 0.6957 0.2117
30 O 0.5120 0.6957 0.7883
31 O 0.6667 0.3333 0.5000
32 O 0.6957 0.5120 0.2117
33 O 0.6957 0.5120 0.7883
34 O 0.7124 0.7124 0.5000
35 O 0.7752 0.7752 0.0000
36 O 0.8163 0.3043 0.2117
37 O 0.8163 0.3043 0.7883
38 O 0.8226 0.0000 0.2712
39 O 0.8226 0.0000 0.7288

Its formation energy from raw total energies is -3.018 eV/atom. The value obtained for the energy is -16.339 eV/atom.